DFT (PBE) results for NaZnIn after structural relaxation.

abc: 3.4176 4.8486 4.8486
angles: 120.00 90.00 90.00
Sites, in units of the cell vectors:
Na  0.6670  0.3333  0.6667
Zn  0.1661  0.6667  0.3333
In  0.1668  0.0000  0.0000

Computed properties:
Offset from the most stable computed form, eV/f.u.: 0.00
SG: P-6m2
ΔH_f (0 K), meV per atom: -58